(1)
This record from Alexandria via LeMat-Bulk describes RbTlCd2Pb after structural relaxation. The functional is GGA-PBE.

abc: 7.3821 7.3821 7.3821
angles: 139.59 138.89 59.01
Fractional coordinates of all 5 atoms:
Rb 0.0000 0.0000 0.0000
Tl 0.3885 0.3885 0.0000
Cd 0.6208 0.6208 0.0000
Cd 0.7490 0.2490 0.5000
Pb 0.2441 0.7441 0.5000

Computed properties:
Calculated formation energy (eV per atom): -0.0637
Calculated volume (Å³/atom): 34.0

***

(2)
This record from Alexandria via LeMat-Bulk describes HfScHg2 after structural relaxation. The functional is GGA-PBE.

abc: 4.5949 4.5949 4.0559
angles: 90.00 90.00 90.00
Fractional coordinates of all 4 atoms:
Hf 0.0000 0.0000 0.0000
Sc 0.5000 0.5000 0.0000
Hg 0.0000 0.5000 0.5000
Hg 0.5000 0.0000 0.5000

Computed properties:
Calculated formation energy (eV per atom): -0.1812
Calculated volume (Å³/atom): 21.4